1.
# Ho3Si5Ni6 | Alexandria via LeMat-Bulk | PBE | relaxed
# * E_tot: -172.70 eV/cell
# * ΔE_f (raw): -0.7726 eV/atom
# * density of states at the Fermi level: 9.9 states/eV/f.u.
# * total magnetic moment: 0.000 μB/atom
data_Ho3Si5Ni6
_chemical_formula_sum 'Ho6 Si10 Ni12'
_space_group_name_H-M_alt 'P m m n'
_space_group_IT_number 59
_cell_length_a 3.898
_cell_length_b 11.777
_cell_length_c 9.230
_cell_angle_alpha 90.00
_cell_angle_beta 90.00
_cell_angle_gamma 90.00
loop_
_space_group_symop_operation_xyz
'x,y,z'
'-x,-y,-z'
'-x+1/2,-y+1/2,z'
'x+1/2,y+1/2,-z'
'x+1/2,-y,-z'
'-x+1/2,y,z'
'-x,y+1/2,-z'
'x,-y+1/2,z'
loop_
_atom_site_label
_atom_site_type_symbol
_atom_site_fract_x
_atom_site_fract_y
_atom_site_fract_z
Ho1 Ho 0.250 0.084 0.247
Ho2 Ho 0.250 0.750 0.248
Si1 Si 0.250 0.081 0.856
Si2 Si 0.250 0.635 0.521
Si3 Si 0.250 0.750 0.875
Ni1 Ni 0.250 0.055 0.592
Ni2 Ni 0.250 0.250 0.498
Ni3 Ni 0.250 0.250 0.991
Ni4 Ni 0.250 0.581 0.006

---

2.
# DyAgPdRh | Alexandria via LeMat-Bulk | PBE | relaxed
# * E_tot: -22.41 eV/cell
# * DFT formation energy: -0.603 eV/atom
# * energy above the most stable polymorph in this dataset: 0.0 meV per atom
# * density of states at the Fermi level: 2.8 states/eV/f.u.
# * total magnetic moment: 0.000 μB/atom
data_DyAgPdRh
_chemical_formula_sum 'Dy1 Ag1 Pd1 Rh1'
_space_group_name_H-M_alt 'P m m m'
_space_group_IT_number 47
_cell_length_a 3.885
_cell_length_b 4.204
_cell_length_c 4.361
_cell_angle_alpha 90.00
_cell_angle_beta 90.00
_cell_angle_gamma 90.00
loop_
_space_group_symop_operation_xyz
'x,y,z'
'-x,-y,-z'
'-x,-y,z'
'x,y,-z'
'x,-y,-z'
'-x,y,z'
'-x,y,-z'
'x,-y,z'
loop_
_atom_site_label
_atom_site_type_symbol
_atom_site_fract_x
_atom_site_fract_y
_atom_site_fract_z
Dy1 Dy 0.000 0.000 0.000
Ag1 Ag 0.000 0.500 0.500
Pd1 Pd 0.500 0.000 0.500
Rh1 Rh 0.500 0.500 0.000

---

3.
# Rb2TiMo | Alexandria via LeMat-Bulk | PBE | relaxed
# * E_tot: -60.35 eV/cell
# * DFT formation energy: 1.394 eV/atom
# * density of states at the Fermi level: 6.2 states/eV/f.u.
# * total magnetic moment: 0.155 μB/atom
data_Rb2TiMo
_chemical_formula_sum 'Rb8 Ti4 Mo4'
_space_group_name_H-M_alt 'I -4 2 d'
_space_group_IT_number 122
_space_group_name_Hall 'I -4 2bw'
_cell_length_a 13.438
_cell_length_b 13.438
_cell_length_c 4.503
_cell_angle_alpha 90.00
_cell_angle_beta 90.00
_cell_angle_gamma 90.00
loop_
_atom_site_label
_atom_site_type_symbol
_atom_site_fract_x
_atom_site_fract_y
_atom_site_fract_z
Rb1 Rb 0.076 0.750 0.125
Ti1 Ti 0.000 0.000 0.500
Mo1 Mo 0.000 0.000 0.000

---

4.
# Tc2As2P | Alexandria via LeMat-Bulk | PBE | relaxed
# * E_tot: -69.73 eV/cell
# * DFT formation energy: 0.116 eV/atom
# * energy above the most stable polymorph in this dataset: 0.0 meV per atom
# * density of states at the Fermi level: 2.5 states/eV/f.u.
# * total magnetic moment: 0.000 μB/atom
data_Tc2As2P
_chemical_formula_sum 'Tc4 As4 P2'
_space_group_name_H-M_alt 'P 4/m b m'
_space_group_IT_number 127
_space_group_name_Hall '-P 4 2ab'
_cell_length_a 7.115
_cell_length_b 7.115
_cell_length_c 3.063
_cell_angle_alpha 90.00
_cell_angle_beta 90.00
_cell_angle_gamma 90.00
loop_
_atom_site_label
_atom_site_type_symbol
_atom_site_fract_x
_atom_site_fract_y
_atom_site_fract_z
Tc1 Tc 0.153 0.347 0.000
As1 As 0.142 0.642 0.500
P1 P 0.000 0.000 0.000